1.
Entry from Alexandria: a relaxed Y2SBr crystal (PBE).

Geometry as extended XYZ:
```
8
Lattice="6.3400 0.0000 0.0000 0.0000 6.3400 0.0000 3.1700 3.1700 6.3210" Properties=species:S:1:pos:R:3 pbc="T T T"
Y 4.5244 1.5850 1.5803
Y 1.8156 4.7550 1.5803
Y 4.7550 4.9856 4.7408
Y 7.9250 7.6945 4.7408
S 3.1700 3.1700 0.0000
S 3.1700 6.3400 3.1605
Br 0.0000 0.0000 0.0000
Br 6.3400 3.1700 3.1605
```

Relative energy among the computed polymorphs: 38.0 kJ per mole of atoms
Space group: I-42d (122)

=====

2.
Entry from Alexandria: a relaxed Y2SBr2 crystal (PBE).

Geometry as extended XYZ:
```
5
Lattice="3.9124 0.0000 0.7304 1.9012 3.4319 0.6598 -0.0466 -0.0525 11.0928" Properties=species:S:1:pos:R:3 pbc="T T T"
Y 3.1655 0.6719 4.7312
Y 2.6015 2.7075 7.7518
S 0.9273 1.6897 5.8763
Br 3.4659 3.1206 3.1219
Br 2.3011 0.2588 9.3611
```

Space group: C2/m (12)

=====

Table of formation energy without anion corrections (eV per formula unit), in record order: -4.4, -9.3